Density functional theory data (PBE-GGA) for an optimized crystal structure of RbBe. Values from VASP.

Its space-group type is No. 216. As for the formation energy: 1.5546 eV/atom. The total magnetic moment comes out at 3.20 Bohr magnetons per cell. The calculation puts the energy relative to the lowest polymorph listed for this composition at 0.932 eV per atom.

```
&SYSTEM
  ibrav = 0, nat = 8, ntyp = 2
/
ATOMIC_SPECIES
Rb 85.47 Rb.upf
Be 9.01 Be.upf
CELL_PARAMETERS angstrom
-6.8441 -1.9367 -3.6539
-3.3927 -1.4102 7.1024
-2.3645 7.6291 0.3853
ATOMIC_POSITIONS crystal
Rb 0.0000 0.0000 0.0000
Rb 0.5000 0.5000 0.0000
Be 0.2500 0.7500 0.7500
Be 0.7500 0.7500 0.2500
Rb 0.5000 0.0000 0.5000
Be 0.2500 0.2500 0.2500
Rb 0.0000 0.5000 0.5000
Be 0.7500 0.2500 0.7500
```